# Ti2BeNi3

Crystalline Ti2BeNi3 at its relaxed geometry (PBE-GGA, the Alexandria database).

Its formation energy is -39 kJ per mole of atoms.

Cell and atoms, written as POSCAR:
```
Ti2BeNi3
1.0
4.787 0.000 0.000
-2.394 4.146 0.000
0.000 0.000 7.295
Ti Be Ni
4 2 6
Cartesian
0.000 2.764 0.401
0.000 2.764 3.246
2.394 1.382 4.049
2.394 1.382 6.894
0.000 0.000 0.000
0.000 0.000 3.648
0.000 1.385 5.471
-1.194 3.453 5.471
1.199 0.692 1.824
1.194 3.453 5.471
3.588 0.692 1.824
2.394 2.761 1.824
```

# Co3Si2Ni

Crystalline Co3Si2Ni at its relaxed geometry (PBE-GGA, the Alexandria database).

The calculation puts the formation energy without anion corrections at -0.48 eV/f.u.

Cell and atoms, written as POSCAR:
```
Co3Si2Ni
1.0
4.774 0.000 0.000
-2.387 4.135 0.000
0.000 0.000 3.700
Co Si Ni
3 2 1
Cartesian
-1.194 2.067 0.000
2.387 0.000 0.000
1.194 2.067 0.000
0.000 2.756 1.850
2.387 1.378 1.850
0.000 0.000 1.850
```

# LiHf2Pt2

Crystalline LiHf2Pt2 at its relaxed geometry (PBE-GGA, the Alexandria database).

Its formation energy is -70 kJ per mole of atoms.

Cell and atoms, written as POSCAR:
```
LiHf2Pt2
1.0
7.837 0.000 0.000
0.000 7.837 0.000
0.000 0.000 3.120
Li Hf Pt
2 4 4
Cartesian
0.000 0.000 0.000
3.918 3.918 0.000
1.222 2.696 0.000
2.696 6.615 0.000
5.141 1.222 0.000
6.615 5.141 0.000
1.099 5.018 1.560
2.819 1.099 1.560
5.018 6.738 1.560
6.738 2.819 1.560
```

# PrDy2PaAs4

Crystalline PrDy2PaAs4 at its relaxed geometry (PBE-GGA, the Alexandria database).

Its formation energy is -135 kJ per mole of atoms.

Cell and atoms, written as POSCAR:
```
PrDy2PaAs4
1.0
7.163 0.000 0.000
0.000 4.160 0.000
-2.404 0.000 6.801
Pr Dy Pa As
1 2 1 4
Cartesian
0.000 0.000 0.000
2.379 0.000 3.401
3.582 2.080 0.000
-1.202 2.080 3.401
0.013 0.000 5.054
1.197 2.080 1.778
3.562 2.080 5.024
4.746 0.000 1.748
```

no.,volume (Å³/atom)
1,12.06
2,12.17
3,19.16
4,25.34